# 1
PBE Ac8SiP5, optimized geometry; space-group type = No. 82; crystal system = tetragonal; raw formation energy = -24.21 kcal/mol of atoms
1.0
-4.7221 4.7221 4.6994
4.7221 -4.7221 4.6994
4.7221 4.7221 -4.6994
Ac Si P
8 1 5
Direct
0.0076 0.1273 0.7590
0.2455 0.4941 0.6200
0.3683 0.2486 0.2410
0.3745 0.7545 0.2486
0.5059 0.1259 0.7514
0.7514 0.9924 0.1197
0.8727 0.6317 0.8803
0.8741 0.6255 0.3800
0.7500 0.2500 0.5000
0.1290 0.0022 0.3805
0.2514 0.8710 0.8732
0.5000 0.5000 0.0000
0.6218 0.7486 0.6195
0.9978 0.3782 0.1268


# 2
PBE Ac4SiP2, optimized geometry; space-group type = No. 63; crystal system = orthorhombic; raw formation energy = -22.39 kcal/mol of atoms
1.0
2.2180 -7.1540 0.0000
2.2180 7.1540 0.0000
0.0000 0.0000 14.8210
Ac Si P
8 2 4
Direct
0.0000 0.0000 0.0000
0.0000 0.0000 0.5000
0.2763 0.7237 0.6221
0.2763 0.7237 0.8779
0.4509 0.5491 0.2500
0.5491 0.4509 0.7500
0.7237 0.2763 0.1221
0.7237 0.2763 0.3779
0.1073 0.8927 0.2500
0.8927 0.1073 0.7500
0.3617 0.6383 0.0621
0.3617 0.6383 0.4379
0.6383 0.3617 0.5621
0.6383 0.3617 0.9379


# 3
PBE AcSiP3, optimized geometry; space-group type = No. 221; crystal system = cubic; raw formation energy = -6.53 kcal/mol of atoms
1.0
4.6957 0.0000 0.0000
0.0000 4.6957 0.0000
0.0000 0.0000 4.6957
Ac Si P
1 1 3
Direct
0.0000 0.0000 0.0000
0.5000 0.5000 0.5000
0.0000 0.5000 0.5000
0.5000 0.0000 0.5000
0.5000 0.5000 0.0000


# 4
PBE AcSiP2, optimized geometry; space-group type = No. 123; crystal system = tetragonal; raw formation energy = -5.28 kcal/mol of atoms; distance to the lowest polymorph of the same formula = 0.0 meV/atom
1.0
4.6111 0.0000 0.0000
0.0000 4.6111 0.0000
0.0000 0.0000 4.0462
Ac Si P
1 1 2
Direct
0.0000 0.0000 0.0000
0.5000 0.5000 0.0000
0.0000 0.5000 0.5000
0.5000 0.0000 0.5000


# 5
PBE Ac6SiTe3P2, optimized geometry; space-group type = No. 12; crystal system = monoclinic; raw formation energy = -32.81 kcal/mol of atoms
1.0
3.9517 -6.8450 0.0000
3.9517 6.8450 0.0000
-2.6303 0.0000 7.7381
Ac Si Te P
6 1 3 2
Direct
0.0922 0.4268 0.7803
0.2382 0.2382 0.2191
0.4268 0.0922 0.7803
0.5732 0.9078 0.2197
0.7618 0.7618 0.7809
0.9078 0.5732 0.2197
0.5000 0.5000 0.0000
0.0000 0.0000 0.5000
0.3339 0.6661 0.5000
0.6661 0.3339 0.5000
0.1667 0.8333 0.0000
0.8333 0.1667 0.0000


# 6
PBE Ac6Si2Te3P, optimized geometry; space-group type = No. 12; crystal system = monoclinic; raw formation energy = -29.15 kcal/mol of atoms
1.0
10.2157 -2.3063 0.0000
10.2157 2.3063 0.0000
-2.4206 0.0000 9.0852
Ac Si Te P
6 2 3 1
Direct
0.0066 0.0066 0.2328
0.3272 0.3272 0.4324
0.3400 0.3400 0.9013
0.6600 0.6600 0.0987
0.6728 0.6728 0.5676
0.9934 0.9934 0.7672
0.1652 0.1652 0.3304
0.8348 0.8348 0.6696
0.1661 0.1661 0.8338
0.5000 0.5000 0.5000
0.8339 0.8339 0.1662
0.5000 0.5000 0.0000


# 7
PBE Ac8SiTe3P3, optimized geometry; space-group type = No. 166; crystal system = trigonal; raw formation energy = -30.03 kcal/mol of atoms
1.0
4.5142 2.6062 7.6944
-4.5142 2.6062 7.6944
0.0000 -5.2125 7.6944
Ac Si Te P
8 1 3 3
Direct
0.2364 0.7415 0.7415
0.2391 0.2391 0.2391
0.2585 0.2585 0.7636
0.2585 0.7636 0.2585
0.7415 0.2364 0.7415
0.7415 0.7415 0.2364
0.7609 0.7609 0.7609
0.7636 0.2585 0.2585
0.5000 0.5000 0.5000
0.0000 0.5000 0.5000
0.5000 0.0000 0.5000
0.5000 0.5000 0.0000
0.0000 0.0000 0.5000
0.0000 0.5000 0.0000
0.5000 0.0000 0.0000


# 8
PBE Ac2SmP3, optimized geometry; VASP energy = -152.0 eV for the cell shown; space-group type = No. 70; crystal system = orthorhombic
1.0
0.0000 6.1367 13.0149
4.3384 0.0000 13.0149
4.3384 6.1367 0.0000
Ac Sm P
8 4 12
Direct
0.0421 0.0421 0.2079
0.1244 0.1244 0.6256
0.2079 0.2079 0.0421
0.3744 0.3744 0.8756
0.6256 0.6256 0.1244
0.7921 0.7921 0.9579
0.8756 0.8756 0.3744
0.9579 0.9579 0.7921
0.2915 0.2915 0.4585
0.4585 0.4585 0.2915
0.5415 0.5415 0.7085
0.7085 0.7085 0.5415
0.0390 0.5395 0.2233
0.1380 0.6120 0.6120
0.2233 0.6983 0.0390
0.3017 0.7767 0.4605
0.3880 0.8620 0.8620
0.4605 0.9610 0.3017
0.5395 0.0390 0.6983
0.6120 0.1380 0.1380
0.6983 0.2233 0.5395
0.7767 0.3017 0.9610
0.8620 0.3880 0.3880
0.9610 0.4605 0.7767